VASP calculation (PBE) on a relaxed structure of Li2ScCdS.

The value obtained for the total magnetization is 0.0 μB per cell. Its electronic total energy is -18.6 eV per cell.

It has space group P4/mmm (No. 123), with a = 4.557 Å, b = 4.557 Å, c = 4.956 Å, α = 90.00°, β = 90.00° and γ = 90.00°. The asymmetric unit holds Li at (0.000, 0.500, 0.000), Sc at (0.000, 0.000, 0.500), Cd at (0.500, 0.500, 0.500) and S at (0.000, 0.000, 0.000).